Sm2Th3Sc4 | GGA-PBE | relaxed

## Properties
The magnetic moment is 0.00 μB per atom. The formation energy comes out at 0.1064 eV per atom. The space group is P3m1.

Unit cell a=3.456 b=3.456 c=25.526 alpha=90.00 beta=90.00 gamma=120.00
Sites, in units of the cell vectors:
1 Sm 0.000 0.000 0.000
2 Sm 0.000 0.000 0.234
3 Th 0.000 0.000 0.783
4 Th 0.333 0.667 0.120
5 Th 0.333 0.667 0.466
6 Sc 0.000 0.000 0.360
7 Sc 0.000 0.000 0.576
8 Sc 0.333 0.667 0.674
9 Sc 0.333 0.667 0.891